(1)
Density functional theory data (PBE-GGA) for MgHIr2Rh after structural relaxation.

Cell lengths 3.8766, 3.8766, 4.0960 Å; angles 90.00, 90.00, 90.00 degrees
With the nearest neighbours (Å) after each atom.
Element x y z (fractional)
H1 0.0000 0.0000 0.0000  4 Ir 1.94, 2 Mg 2.05
Ir1 0.0000 0.5000 0.0000  2 H 1.94
Ir2 0.5000 0.0000 0.0000  2 H 1.94
Rh1 0.5000 0.5000 0.5000  4 Mg 2.74, 8 Ir 2.82
Mg1 0.0000 0.0000 0.5000  2 H 2.05

- N(E_F) (states/eV/atom) = 0.81
- symmetry = P4/mmm, No. 123
- final energy (eV per atom) = -6.1041

=====

(2)
Density functional theory data (PBE-GGA) for MgHIr2Rh after structural relaxation.

Cell lengths 3.9304, 3.9304, 4.0070 Å; angles 90.00, 90.00, 90.00 degrees
With the nearest neighbours (Å) after each atom.
Element x y z (fractional)
Rh1 0.0000 0.0000 0.5000  2 H 2.00
Ir1 0.0000 0.5000 0.0000  2 H 1.97
Ir2 0.5000 0.0000 0.0000  2 H 1.97
Mg1 0.5000 0.5000 0.5000  4 Rh 2.78, 8 Ir 2.81
H1 0.0000 0.0000 0.0000  4 Ir 1.97, 2 Rh 2.00

- N(E_F) (states/eV/atom) = 0.55
- symmetry = P4/mmm, No. 123
- final energy (eV per atom) = -6.1285